1.
6
Lattice="-2.095 2.095 10.912 2.095 -2.095 10.912 2.095 2.095 -10.912" Properties=species:S:1:pos:R:3 comment="HoTlPb, relaxed, DFT PBE" formation_energy_ev_per_atom=-0.07 de_polymorph_kj_per_mol_atoms=21.0 sg="I4/mmm (139)" pbc="T T T"
Ho 0.000 0.000 2.826
Ho 0.000 0.000 18.998
Tl 0.000 0.000 6.112
Tl 0.000 0.000 15.712
Pb 0.000 0.000 9.293
Pb 0.000 0.000 12.531

2.
4
Lattice="2.500 1.443 6.066 -2.500 1.443 6.066 0.000 -2.887 6.066" Properties=species:S:1:pos:R:3 comment="HoTlPb2, relaxed, DFT PBE" formation_energy_ev_per_atom=-0.01 sg="R3m (160)" pbc="T T T"
Ho 0.000 0.000 0.000
Tl 0.000 0.000 14.942
Pb 0.000 0.000 7.242
Pb 0.000 0.000 10.688

3.
12
Lattice="3.252 -5.527 0.000 3.252 5.527 0.000 -1.992 0.000 9.679" Properties=species:S:1:pos:R:3 comment="Ho6Tl5Pb, relaxed, DFT PBE" formation_energy_ev_per_atom=-0.27 de_polymorph_kj_per_mol_atoms=6.0 sg="C2/m (12)" pbc="T T T"
Ho 1.114 1.851 2.397
Ho 0.134 0.000 7.269
Ho 1.114 -1.851 2.397
Ho 3.398 1.851 7.282
Ho 4.379 0.000 2.410
Ho 3.398 -1.851 7.282
Tl 0.000 0.000 0.000
Tl 2.256 3.677 4.840
Tl 3.252 1.835 0.000
Tl 3.252 -1.835 0.000
Tl 2.256 -3.677 4.840
Pb 2.256 0.000 4.840